# Ca3Cu4Sn7

Crystalline Ca3Cu4Sn7 at its relaxed geometry (PBE-GGA, the Alexandria database).

Results
The energy of formation from the pure elements comes out at -305.4 meV/atom. As for the space group: C2/m.

```
14
Lattice="8.5022 -2.2036 0.0000 8.5022 2.2036 0.0000 -5.7225 0.0000 8.5837" Properties=species:S:1:pos:R:3 pbc="T T T"
Ca 0.0000 0.0000 0.0000
Ca 3.6523 0.0000 2.6998
Ca 7.6295 0.0000 5.8839
Cu -2.7485 0.0000 7.3978
Cu 1.6959 0.0000 6.2453
Cu 9.5859 0.0000 2.3384
Cu 14.0303 0.0000 1.1859
Sn -2.8613 0.0000 4.2918
Sn 0.4199 0.0000 3.7137
Sn -0.1281 0.0000 8.1326
Sn 6.9264 0.0000 2.2019
Sn 4.3554 0.0000 6.3817
Sn 11.4098 0.0000 0.4511
Sn 10.8618 0.0000 4.8700
```

***

# TaHgP2

Crystalline TaHgP2 at its relaxed geometry (PBE-GGA, the Alexandria database).

Results
The energy of formation from the pure elements comes out at 734.3 meV/atom. As for the space group: F-43m.

```
4
Lattice="0.0000 3.2769 3.2769 3.2769 0.0000 3.2769 3.2769 3.2769 0.0000" Properties=species:S:1:pos:R:3 pbc="T T T"
Ta 0.0000 0.0000 0.0000
Hg 4.9153 4.9153 4.9153
P 1.6384 1.6384 1.6384
P 3.2769 3.2769 3.2769
```

***

# Ce4Se3O4

Crystalline Ce4Se3O4 at its relaxed geometry (PBE-GGA, the Alexandria database).

Results
The raw formation energy comes out at -2.7291 eV/atom. As for the space group: Amm2.

```
11
Lattice="8.6675 0.0000 0.0000 0.0000 1.9455 6.2844 0.0000 -1.9455 6.2844" Properties=species:S:1:pos:R:3 pbc="T T T"
Ce 0.0000 0.0000 0.0000
Ce 2.0693 0.0000 8.7820
Ce 4.3337 0.0000 0.2697
Ce 6.5982 0.0000 8.7820
Se 0.0000 0.0000 3.7763
Se 2.7523 0.0000 4.8607
Se 5.9152 0.0000 4.8607
O 0.0000 0.0000 7.4281
O 2.1663 0.0000 1.2843
O 4.3337 0.0000 7.9511
O 6.5012 0.0000 1.2843
```

***

# NdPuCoPd

Crystalline NdPuCoPd at its relaxed geometry (PBE-GGA, the Alexandria database).

Results
The energy of formation from the pure elements comes out at -183.5 meV/atom. As for the space group: F-43m.

```
4
Lattice="0.0000 3.4955 3.4955 3.4955 0.0000 3.4955 3.4955 3.4955 0.0000" Properties=species:S:1:pos:R:3 pbc="T T T"
Nd 0.0000 0.0000 0.0000
Pu 3.4955 3.4955 3.4955
Co 1.7478 1.7478 1.7478
Pd 5.2433 5.2433 5.2433
```

***

# DyEr2Hg6

Crystalline DyEr2Hg6 at its relaxed geometry (PBE-GGA, the Alexandria database).

Results
The energy of formation from the pure elements comes out at -386.6 meV/atom. As for the space group: C2/c.

```
18
Lattice="7.1594 -5.8195 0.0000 7.1594 5.8195 0.0000 -0.9396 0.0000 5.3300" Properties=species:S:1:pos:R:3 pbc="T T T"
Dy 6.4547 4.3560 3.9975
Dy 6.9245 -4.3560 1.3325
Er 3.9126 1.4562 4.8823
Er 4.3824 -1.4562 2.2172
Er 8.9968 1.4562 3.1128
Er 9.4666 -1.4562 0.4478
Hg 5.3710 4.3557 1.0427
Hg 2.8535 1.4604 1.9286
Hg 8.4780 4.3557 1.6223
Hg 5.9273 1.4498 2.5093
Hg 2.3837 -1.4604 4.5936
Hg 7.9218 1.4498 0.1557
Hg 5.4575 -1.4498 5.1743
Hg 10.9955 1.4604 0.7364
Hg 7.4519 -1.4498 2.8207
Hg 4.9012 -4.3557 3.7077
Hg 10.5257 -1.4604 3.4014
Hg 8.0082 -4.3557 4.2873
```

***

# Sr2LaPaAs4

Crystalline Sr2LaPaAs4 at its relaxed geometry (PBE-GGA, the Alexandria database).

Results
The energy of formation from the pure elements comes out at -1282.0 meV/atom. As for the space group: P2/m.

```
8
Lattice="7.5426 0.0000 0.0000 0.0000 4.3608 0.0000 -2.4988 0.0000 7.1486" Properties=species:S:1:pos:R:3 pbc="T T T"
Sr 0.0000 0.0000 0.0000
Sr 3.7713 2.1804 0.0000
La -1.2494 2.1804 3.5743
Pa 2.5219 0.0000 3.5743
As 0.1569 0.0000 5.1738
As 1.3744 2.1804 2.0138
As 3.6695 2.1804 5.1348
As 4.8869 0.0000 1.9748
```

***

# Ti6Zn5Pt

Crystalline Ti6Zn5Pt at its relaxed geometry (PBE-GGA, the Alexandria database).

Results
The energy of formation from the pure elements comes out at -313.3 meV/atom. As for the space group: Cmmm.

```
12
Lattice="1.9977 -6.0398 0.0000 1.9977 6.0398 0.0000 0.0000 0.0000 7.7448" Properties=species:S:1:pos:R:3 pbc="T T T"
Ti 0.0000 0.0000 1.9144
Ti 0.0000 0.0000 5.8303
Ti 1.9977 2.0116 1.9313
Ti 1.9977 2.0116 5.8135
Ti 1.9977 -2.0116 1.9313
Ti 1.9977 -2.0116 5.8135
Zn 1.9977 4.0456 0.0000
Zn 1.9977 4.0346 3.8724
Zn 1.9977 0.0000 3.8724
Zn 1.9977 -4.0346 3.8724
Zn 1.9977 -4.0456 0.0000
Pt 1.9977 0.0000 0.0000
```

***

# Ho2ErTl9

Crystalline Ho2ErTl9 at its relaxed geometry (PBE-GGA, the Alexandria database).

Results
The energy of formation from the pure elements comes out at -211.9 meV/atom. As for the space group: P4/mmm.

```
12
Lattice="4.7570 0.0000 0.0000 0.0000 4.7570 0.0000 0.0000 0.0000 14.2684" Properties=species:S:1:pos:R:3 pbc="T T T"
Ho 0.0000 0.0000 2.3775
Ho 0.0000 0.0000 11.8909
Er 0.0000 0.0000 7.1342
Tl 0.0000 2.3785 0.0000
Tl 0.0000 2.3785 4.7604
Tl 0.0000 2.3785 9.5080
Tl 2.3785 0.0000 0.0000
Tl 2.3785 0.0000 4.7604
Tl 2.3785 0.0000 9.5080
Tl 2.3785 2.3785 2.3803
Tl 2.3785 2.3785 7.1342
Tl 2.3785 2.3785 11.8881
```

***

| no. | energy (eV/atom) |
| --- | --- |
| 1 | -3.91 |
| 2 | -5.01 |
| 3 | -7.64 |
| 4 | -8.03 |
| 5 | -2.11 |
| 6 | -5.83 |
| 7 | -5.29 |
| 8 | -3.13 |